Record 1
Below is PmY5Rh6 after structural relaxation, with properties calculated at the PBE-GGA level.

Results
* formation energy: -0.813 eV/atom
* raw total energy: -181.9 eV/cell
* total magnetic moment: 0.00 μB/cell

Cell: 4.868 14.621 6.933 Å, 90.00 90.00 90.00°
Space group Cmmm (No. 65)
Symmetry-distinct sites (fractional):
1 Pm 0.000 0.000 0.000 [2 per cell]
2 Y 0.000 0.000 0.500 [2 per cell]
3 Y 0.000 0.332 0.000 [4 per cell]
4 Y 0.000 0.333 0.500 [4 per cell]
5 Rh 0.000 0.168 0.251 [8 per cell]
6 Rh 0.000 0.500 0.254 [4 per cell]

=====

Record 2
Below is Tb3Pm2NdSm6 after structural relaxation, with properties calculated at the PBE-GGA level.

Results
* formation energy: 0.014 eV/atom
* raw total energy: -112.6 eV/cell
* total magnetic moment: 0.00 μB/cell

Cell: 6.273 10.862 11.999 Å, 90.00 100.04 90.00°
Space group C2/m (No. 12)
Symmetry-distinct sites (fractional):
1 Tb 0.000 0.000 0.000 [2 per cell]
2 Tb 0.000 0.333 0.000 [4 per cell]
3 Pm 0.000 0.167 0.500 [4 per cell]
4 Nd 0.000 0.500 0.500 [2 per cell]
5 Sm 0.249 0.167 0.247 [8 per cell]
6 Sm 0.249 0.500 0.247 [4 per cell]

=====

Record 3
Below is CdSn2Hg after structural relaxation, with properties calculated at the PBE-GGA level.

Results
* formation energy: 0.040 eV/atom
* raw total energy: -18.1 eV/cell
* total magnetic moment: 0.00 μB/cell

Cell: 4.455 4.393 10.998 Å, 90.00 98.40 90.00°
Space group P2_1/m (No. 11)
Symmetry-distinct sites (fractional):
1 Cd 0.000 0.250 0.108 [2 per cell]
2 Sn 0.145 0.250 0.627 [2 per cell]
3 Sn 0.351 0.250 0.365 [2 per cell]
4 Hg 0.497 0.250 0.886 [2 per cell]

=====

Record 4
Below is RbNaCd2Pt after structural relaxation, with properties calculated at the PBE-GGA level.

Results
* formation energy: -0.192 eV/atom
* raw total energy: -11.1 eV/cell
* total magnetic moment: 0.00 μB/cell

Cell: 5.365 5.365 5.519 Å, 90.00 90.00 90.00°
Space group P4/mmm (No. 123)
Symmetry-distinct sites (fractional):
1 Rb 0.000 0.000 0.000 [1 per cell]
2 Na 0.500 0.500 0.000 [1 per cell]
3 Cd 0.000 0.500 0.500 [2 per cell]
4 Pt 0.500 0.500 0.500 [1 per cell]

=====

Record 5
Below is Na2Zn4F9 after structural relaxation, with properties calculated at the PBE-GGA level.

Results
* raw total energy: -234.2 eV/cell
* E_form (uncorrected): -2.266 eV/atom
* total magnetic moment: 0.00 μB/cell

Cell: 9.586 5.535 14.740 Å, 90.00 90.01 90.00°
Space group C2/c (No. 15)
Symmetry-distinct sites (fractional):
1 Na 0.000 0.000 0.144 [8 per cell]
2 Zn 0.167 0.499 0.311 [8 per cell]
3 Zn 0.167 0.500 0.020 [8 per cell]
4 F 0.000 0.328 0.250 [4 per cell]
5 F 0.015 0.377 0.919 [8 per cell]
6 F 0.164 0.165 0.750 [8 per cell]
7 F 0.181 0.210 0.419 [8 per cell]
8 F 0.196 0.166 0.081 [8 per cell]